1.
Material: MnOsCl
Method: DFT, PBE
State: relaxed

Computed properties:
Relative energy among the computed polymorphs (meV per atom): 486
Energy relative to the elements, uncorrected (meV/atom): 822
Final energy (eV/atom): -6.59

Cell lengths 4.2274, 4.2274, 2.8770 Å; angles 90.00, 90.00, 120.00 degrees
Space group P-6m2 (No. 187)
Unique sites:
Mn1 0.0000 0.0000 0.0000 (multiplicity 1)
Os1 0.6667 0.3333 0.5000 (multiplicity 1)
Cl1 0.3333 0.6667 0.5000 (multiplicity 1)

---

2.
Material: MnOsCl
Method: DFT, PBE
State: relaxed

Computed properties:
Relative energy among the computed polymorphs (meV per atom): 647
Energy relative to the elements, uncorrected (meV/atom): 983
Final energy (eV/atom): -6.43

Cell lengths 5.881, 5.881, 5.881 Å; angles 90.00, 90.00, 90.00 degrees
Space group F-43m (No. 216)
Unique sites:
Mn1 0.000 0.000 0.000 (multiplicity 4)
Os1 0.250 0.250 0.750 (multiplicity 4)
Cl1 0.000 0.000 0.500 (multiplicity 4)

---

3.
Material: MnOs4Cl
Method: DFT, PBE
State: relaxed

Computed properties:
Energy relative to the elements, uncorrected (meV/atom): 1261
Final energy (eV/atom): -8.06

Cell lengths 7.383, 7.383, 7.383 Å; angles 90.00, 90.00, 90.00 degrees
Space group F-43m (No. 216)
Unique sites:
Mn1 0.000 0.000 0.000 (multiplicity 4)
Os1 0.125 0.125 0.625 (multiplicity 16)
Cl1 0.250 0.250 0.250 (multiplicity 4)

---

4.
Material: MnOsCl4
Method: DFT, PBE
State: relaxed

Computed properties:
Energy relative to the elements, uncorrected (meV/atom): 1522
Final energy (eV/atom): -3.11

Cell lengths 8.054, 8.054, 8.054 Å; angles 90.00, 90.00, 90.00 degrees
Space group F-43m (No. 216)
Unique sites:
Mn1 0.000 0.000 0.000 (multiplicity 4)
Os1 0.250 0.250 0.750 (multiplicity 4)
Cl1 0.124 0.124 0.376 (multiplicity 16)

---

5.
Material: Mn3OsCl
Method: DFT, PBE
State: relaxed

Computed properties:
Energy relative to the elements, uncorrected (meV/atom): 1035
Final energy (eV/atom): -7.08

Cell lengths 4.815, 4.815, 4.815 Å; angles 90.00, 90.00, 90.00 degrees
Space group Pm-3m (No. 221)
Unique sites:
Mn1 0.000 0.000 0.500 (multiplicity 3)
Os1 0.000 0.000 0.000 (multiplicity 1)
Cl1 0.500 0.500 0.500 (multiplicity 1)

---

6.
Material: MnOsCl
Method: DFT, PBE
State: relaxed

Computed properties:
Relative energy among the computed polymorphs (meV per atom): 107
Energy relative to the elements, uncorrected (meV/atom): 442
Final energy (eV/atom): -6.97

Cell lengths 2.964, 4.959, 14.194 Å; angles 90.00, 90.00, 90.00 degrees
Space group Fmm2 (No. 42)
Unique sites:
Mn1 0.000 0.000 0.000 (multiplicity 4)
Os1 0.000 0.000 0.637 (multiplicity 4)
Cl1 0.000 0.000 0.374 (multiplicity 4)

---

7.
Material: MnOsCl
Method: DFT, PBE
State: relaxed

Computed properties:
Relative energy among the computed polymorphs (meV per atom): 217
Energy relative to the elements, uncorrected (meV/atom): 553
Final energy (eV/atom): -6.86

Cell lengths 2.823, 2.823, 10.928 Å; angles 90.00, 90.00, 90.00 degrees
Space group I4mm (No. 107)
Unique sites:
Mn1 0.000 0.000 0.000 (multiplicity 2)
Os1 0.000 0.000 0.367 (multiplicity 2)
Cl1 0.000 0.000 0.665 (multiplicity 2)

---

8.
Material: MnP2OsCl
Method: DFT, PBE
State: relaxed

Computed properties:
Relative energy among the computed polymorphs (meV per atom): 0
Energy relative to the elements, uncorrected (meV/atom): 1182
Final energy (eV/atom): -5.43

Cell lengths 4.473, 4.473, 4.362 Å; angles 90.00, 90.00, 90.00 degrees
Space group P4/mmm (No. 123)
Unique sites:
Mn1 0.000 0.000 0.000 (multiplicity 1)
P1 0.000 0.500 0.000 (multiplicity 2)
Os1 0.500 0.500 0.500 (multiplicity 1)
Cl1 0.000 0.000 0.500 (multiplicity 1)

---

9.
Material: MnP2OsCl
Method: DFT, PBE
State: relaxed

Computed properties:
Relative energy among the computed polymorphs (meV per atom): 40
Energy relative to the elements, uncorrected (meV/atom): 1221
Final energy (eV/atom): -5.39

Cell lengths 4.519, 4.519, 5.007 Å; angles 90.00, 90.00, 90.00 degrees
Space group P4/mmm (No. 123)
Unique sites:
Mn1 0.000 0.000 0.000 (multiplicity 1)
P1 0.000 0.500 0.500 (multiplicity 2)
Os1 0.500 0.500 0.500 (multiplicity 1)
Cl1 0.500 0.500 0.000 (multiplicity 1)

---

10.
Material: MnOsSCl2
Method: DFT, PBE
State: relaxed

Computed properties:
Relative energy among the computed polymorphs (meV per atom): 416
Energy relative to the elements, uncorrected (meV/atom): 874
Final energy (eV/atom): -4.77

Cell lengths 4.615, 4.615, 4.999 Å; angles 90.00, 90.00, 90.00 degrees
Space group P4/mmm (No. 123)
Unique sites:
Mn1 0.000 0.000 0.000 (multiplicity 1)
Os1 0.500 0.500 0.500 (multiplicity 1)
S1 0.000 0.000 0.500 (multiplicity 1)
Cl1 0.000 0.500 0.000 (multiplicity 2)

---

11.
Material: MnOsSCl2
Method: DFT, PBE
State: relaxed

Computed properties:
Relative energy among the computed polymorphs (meV per atom): 0
Energy relative to the elements, uncorrected (meV/atom): 458
Final energy (eV/atom): -5.19

Cell lengths 4.949, 4.949, 4.460 Å; angles 90.00, 90.00, 90.00 degrees
Space group P4/mmm (No. 123)
Unique sites:
Mn1 0.000 0.000 0.000 (multiplicity 1)
Os1 0.500 0.500 0.500 (multiplicity 1)
S1 0.500 0.500 0.000 (multiplicity 1)
Cl1 0.000 0.500 0.500 (multiplicity 2)

---

12.
Material: Mn2OsSeCl
Method: DFT, PBE
State: relaxed

Computed properties:
Energy relative to the elements, uncorrected (meV/atom): 1114
Final energy (eV/atom): -5.87

Cell lengths 4.421, 4.421, 4.458 Å; angles 90.00, 90.00, 90.00 degrees
Space group P4/mmm (No. 123)
Unique sites:
Mn1 0.000 0.500 0.000 (multiplicity 2)
Os1 0.000 0.000 0.500 (multiplicity 1)
Se1 0.500 0.500 0.500 (multiplicity 1)
Cl1 0.000 0.000 0.000 (multiplicity 1)

---

| no. | V (Å³ per cell) |
| --- | --- |
| 1 | 44.53 |
| 2 | 203.40 |
| 3 | 402.51 |
| 4 | 522.44 |
| 5 | 111.60 |
| 6 | 208.61 |
| 7 | 87.10 |
| 8 | 87.26 |
| 9 | 102.24 |
| 10 | 106.49 |
| 11 | 109.22 |
| 12 | 87.12 |